Entry 1:
CoP2PbO7 | Alexandria via LeMat-Bulk | SCAN | single point on PBEsol structure; DOS(E_F) = 0.00 states/eV/f.u.; raw formation energy = -2.12 eV/atom; calculated volume = 562 Å³/cell; total magnetic moment = 3.0 μB per formula unit
1.0
-4.158 2.933 1.597
-5.104 -5.046 -4.021
-1.169 -7.203 10.523
Co P Pb O
4 8 4 28
direct
0.677 0.148 0.395
0.823 0.648 0.105
0.323 0.852 0.605
0.177 0.352 0.895
0.182 0.199 0.519
0.318 0.699 0.981
0.818 0.801 0.481
0.682 0.301 0.019
0.249 0.466 0.665
0.251 0.966 0.835
0.751 0.534 0.335
0.749 0.034 0.165
0.211 0.329 0.221
0.289 0.829 0.279
0.789 0.671 0.779
0.711 0.171 0.721
0.899 0.166 0.522
0.601 0.666 0.978
0.101 0.834 0.478
0.399 0.334 0.022
0.304 0.185 0.410
0.196 0.685 0.090
0.696 0.815 0.590
0.804 0.315 0.910
0.322 0.096 0.601
0.178 0.596 0.899
0.678 0.904 0.399
0.822 0.404 0.101
0.224 0.387 0.551
0.276 0.887 0.949
0.776 0.613 0.449
0.724 0.113 0.051
0.175 0.644 0.653
0.325 0.144 0.847
0.825 0.356 0.347
0.675 0.856 0.153
0.058 0.381 0.738
0.442 0.881 0.762
0.942 0.619 0.262
0.558 0.119 0.238
0.519 0.442 0.700
0.981 0.942 0.800
0.481 0.558 0.300
0.019 0.058 0.200



Entry 2:
CoP2PdO | Alexandria via LeMat-Bulk | SCAN | single point on PBEsol structure; DOS(E_F) = 2.81 states/eV/f.u.; ΔE to the lowest computed polymorph = 0.000 eV/atom; raw formation energy = 0.09 eV/atom; calculated volume = 67 Å³/cell; total magnetic moment = 1.3 μB per formula unit
1.0
3.288 0.000 0.000
0.000 4.530 0.000
0.000 0.000 4.530
P Co O Pd
2 1 1 1
direct
0.000 0.000 0.500
0.000 0.500 0.000
0.000 0.000 0.000
0.500 0.000 0.000
0.500 0.500 0.500



Entry 3:
CoP2PdO | Alexandria via LeMat-Bulk | SCAN | single point on PBEsol structure; DOS(E_F) = 3.37 states/eV/f.u.; ΔE to the lowest computed polymorph = 0.683 eV/atom; raw formation energy = 0.77 eV/atom; calculated volume = 80 Å³/cell; total magnetic moment = 2.7 μB per formula unit
1.0
3.665 0.000 0.000
0.000 4.663 0.000
0.000 0.000 4.663
P Co O Pd
2 1 1 1
direct
0.000 0.000 0.500
0.000 0.500 0.000
0.500 0.500 0.500
0.500 0.000 0.000
0.000 0.000 0.000



Entry 4:
CoSb3P6O24 | Alexandria via LeMat-Bulk | SCAN | single point on PBEsol structure; DOS(E_F) = 0.00 states/eV/f.u.; raw formation energy = -2.06 eV/atom; calculated volume = 432 Å³/cell; total magnetic moment = 0.1 μB per formula unit
1.0
8.220 0.000 0.000
4.110 7.119 0.000
4.110 2.373 7.378
Co Sb P O
1 3 6 24
direct
0.849 0.849 0.452
0.149 0.149 0.552
0.357 0.357 0.929
0.641 0.641 0.076
0.477 0.035 0.740
0.748 0.477 0.740
0.035 0.748 0.740
0.961 0.236 0.257
0.236 0.547 0.257
0.547 0.961 0.257
0.522 0.117 0.071
0.117 0.290 0.071
0.323 0.009 0.705
0.290 0.522 0.071
0.384 0.244 0.760
0.675 0.017 0.596
0.963 0.323 0.705
0.612 0.384 0.760
0.244 0.612 0.760
0.976 0.289 0.398
0.990 0.024 0.304
0.289 0.338 0.398
0.712 0.675 0.596
0.009 0.963 0.705
0.017 0.712 0.596
0.754 0.381 0.236
0.381 0.629 0.236
0.024 0.682 0.304
0.338 0.976 0.398
0.629 0.754 0.236
0.697 0.486 0.930
0.682 0.990 0.304
0.886 0.697 0.930
0.486 0.886 0.930



Entry 5:
CoP2SeO | Alexandria via LeMat-Bulk | SCAN | single point on PBEsol structure; DOS(E_F) = 2.90 states/eV/f.u.; raw formation energy = 0.17 eV/atom; calculated volume = 71 Å³/cell; total magnetic moment = 1.3 μB per formula unit
1.0
3.428 0.000 0.000
0.000 4.543 0.000
0.000 0.000 4.543
P Co O Se
2 1 1 1
direct
0.000 0.000 0.500
0.000 0.500 0.000
0.000 0.000 0.000
0.500 0.000 0.000
0.500 0.500 0.500



Entry 6:
CoSiP2O | Alexandria via LeMat-Bulk | SCAN | single point on PBEsol structure; DOS(E_F) = 2.35 states/eV/f.u.; raw formation energy = -0.02 eV/atom; calculated volume = 69 Å³/cell; total magnetic moment = 1.8 μB per formula unit
1.0
-2.042 1.688 1.743
0.859 -2.738 3.659
3.452 2.828 1.305
P Si Co O
2 1 1 1
direct
0.000 0.000 0.500
0.000 0.500 0.000
0.000 0.000 0.000
0.500 0.500 0.500
0.500 0.000 0.000